This record from the Alexandria database describes a relaxed AlCu4Ni crystal. The functional is PBE.

Structure (extended XYZ):
```
6
Lattice="0.000 3.355 3.355 3.355 0.000 3.355 3.355 3.355 0.000" Properties=species:S:1:pos:R:3 pbc="T T T"
Al 0.000 0.000 0.000
Cu 4.193 2.517 2.517
Cu 2.517 4.193 2.517
Cu 2.517 2.517 4.193
Cu 4.193 4.193 4.193
Ni 1.678 1.678 1.678
```

V	12.6	Å³ per atom
space group	F-43m
energy above the lowest structure with this stoichiometry	126	meV/atom
ΔH_f (0 K)	0.02	eV per atom
uncorrected energy	-4.296	eV per atom